# BiSbC3

A geometry-optimized BiSbC3 structure (PBE-GGA, Alexandria).

Calculated values
E_form (uncorrected): 15.47 eV/f.u.
DOS(E_F): 4.146 states/eV/f.u.
Size of the total moment: 1.96 Bohr magnetons per cell

Unit cell a=4.4973 b=4.4973 c=4.4973 alpha=90.00 beta=90.00 gamma=90.00
Space group Pm-3m (No. 221)
Symmetry-distinct sites (fractional):
Bi1 0.0000 0.0000 0.0000 [1 per cell]
Sb1 0.5000 0.5000 0.5000 [1 per cell]
C1 0.0000 0.0000 0.5000 [3 per cell]

# Tb2TaSi4Ir3

A geometry-optimized Tb2TaSi4Ir3 structure (PBE-GGA, Alexandria).

Calculated values
E_form (uncorrected): -8.86 eV/f.u.
DOS(E_F): 6.068 states/eV/f.u.
Size of the total moment: 0.00 Bohr magnetons per cell

Unit cell a=4.0891 b=4.0891 c=10.4845 alpha=90.00 beta=90.00 gamma=90.00
Space group P-4m2 (No. 115)
Symmetry-distinct sites (fractional):
Tb1 0.0000 0.5000 0.2401 [2 per cell]
Ta1 0.0000 0.0000 0.5000 [1 per cell]
Si1 0.0000 0.0000 0.0000 [1 per cell]
Si2 0.0000 0.5000 0.6493 [2 per cell]
Si3 0.5000 0.5000 0.0000 [1 per cell]
Ir1 0.0000 0.5000 0.8775 [2 per cell]
Ir2 0.5000 0.5000 0.5000 [1 per cell]

# Na3Ce2ZrSe6

A geometry-optimized Na3Ce2ZrSe6 structure (PBE-GGA, Alexandria).

Calculated values
E_form (uncorrected): -17.98 eV/f.u.
DOS(E_F): 14.302 states/eV/f.u.
Size of the total moment: 6.01 Bohr magnetons per cell

Unit cell a=7.1661 b=12.4158 c=7.4533 alpha=90.00 beta=108.80 gamma=90.00
Space group C2/m (No. 12)
Symmetry-distinct sites (fractional):
Na1 0.0000 0.0000 0.0000 [2 per cell]
Na2 0.0000 0.3317 0.0000 [4 per cell]
Ce1 0.0000 0.1666 0.5000 [4 per cell]
Zr1 0.0000 0.5000 0.5000 [2 per cell]
Se1 0.2357 0.3421 0.7332 [8 per cell]
Se2 0.2379 0.5000 0.2685 [4 per cell]